# CoCu3Ir PBE relaxed
# * calculated formation energy: 126.82 kJ per mole of atoms
# * mass density: 9.6 g cm⁻³
data_CoCu3Ir
_symmetry_space_group_name_H-M 'P m -3 m'
_symmetry_Int_Tables_number 221
_symmetry_space_group_name_Hall '-P 4 2 3'
_cell_length_a 4.247
_cell_length_b 4.247
_cell_length_c 4.247
_cell_angle_alpha 90.00
_cell_angle_beta 90.00
_cell_angle_gamma 90.00
loop_
_atom_site_label
_atom_site_fract_x
_atom_site_fract_y
_atom_site_fract_z
Co1 0.000 0.000 0.000
Cu1 0.000 0.000 0.500
Ir1 0.500 0.500 0.500


# As2AuSe4 PBE relaxed
# * ΔE_f (raw): 83 meV per atom
# * mass density: 5.9 g cm⁻³
data_As2AuSe4
_symmetry_space_group_name_H-M 'I 4/m'
_symmetry_Int_Tables_number 87
_symmetry_space_group_name_Hall '-I 4'
_cell_length_a 7.247
_cell_length_b 7.247
_cell_length_c 7.088
_cell_angle_alpha 90.00
_cell_angle_beta 90.00
_cell_angle_gamma 90.00
loop_
_atom_site_label
_atom_site_fract_x
_atom_site_fract_y
_atom_site_fract_z
As1 0.000 0.500 0.250
Au1 0.000 0.000 0.000
Se1 0.187 0.302 0.000


| no. | V (Å³ per atom) |
| --- | --- |
| 1 | 15.324 |
| 2 | 26.592 |